A plane-wave DFT calculation with PBE was carried out for a relaxed structure of PmB4W.

Excess energy over the best structure of this formula in the dataset = 166 meV per atom
Crystal system = orthorhombic
V = 10.616 Å³/atom
Total DFT energy (no corrections) = -7.608 eV per atom
ρ = 9.70 g cm⁻³

a b c (Å): 4.823 4.823 4.823
angles (deg): 141.39 110.28 82.65
Sites, in units of the cell vectors:
Pm (0.000, 0.000, 0.000)
B (0.094, 0.755, 0.339)
B (0.417, 0.755, 0.661)
B (0.583, 0.245, 0.339)
B (0.906, 0.245, 0.661)
W (0.500, 0.500, 0.000)


A plane-wave DFT calculation with PBE was carried out for a relaxed structure of NiHgPbS3.

Excess energy over the best structure of this formula in the dataset = 0 meV per atom
Crystal system = orthorhombic
V = 22.721 Å³/atom
Total DFT energy (no corrections) = -3.811 eV per atom
ρ = 6.85 g cm⁻³

a b c (Å): 7.704 7.704 10.133
angles (deg): 90.00 90.00 153.04
Sites, in units of the cell vectors:
Ni (0.000, 0.000, 0.000)
Ni (0.000, 0.000, 0.500)
Hg (0.343, 0.657, 0.750)
Hg (0.657, 0.343, 0.250)
Pb (0.339, 0.661, 0.250)
Pb (0.661, 0.339, 0.750)
S (0.026, 0.974, 0.750)
S (0.404, 0.596, 0.517)
S (0.404, 0.596, 0.983)
S (0.596, 0.404, 0.017)
S (0.596, 0.404, 0.483)
S (0.974, 0.026, 0.250)


A plane-wave DFT calculation with PBE was carried out for a relaxed structure of TbAgGeTe3.

Crystal system = orthorhombic
V = 28.392 Å³/atom
Total DFT energy (no corrections) = -4.122 eV per atom
ρ = 7.04 g cm⁻³

a b c (Å): 7.553 7.553 11.162
angles (deg): 90.00 90.00 147.65
Sites, in units of the cell vectors:
Tb (0.000, 0.000, 0.000)
Tb (0.000, 0.000, 0.500)
Ag (0.478, 0.522, 0.750)
Ag (0.522, 0.478, 0.250)
Ge (0.217, 0.783, 0.250)
Ge (0.783, 0.217, 0.750)
Te (0.107, 0.893, 0.750)
Te (0.349, 0.651, 0.565)
Te (0.349, 0.651, 0.935)
Te (0.651, 0.349, 0.065)
Te (0.651, 0.349, 0.435)
Te (0.893, 0.107, 0.250)


A plane-wave DFT calculation with PBE was carried out for a relaxed structure of LiAgPtO3.

Crystal system = orthorhombic
V = 11.945 Å³/atom
Total DFT energy (no corrections) = -5.054 eV per atom
ρ = 8.29 g cm⁻³

a b c (Å): 10.335 3.137 8.844
angles (deg): 90.00 90.00 90.00
Sites, in units of the cell vectors:
Li (0.230, 0.250, 0.181)
Li (0.270, 0.750, 0.681)
Li (0.730, 0.250, 0.319)
Li (0.770, 0.750, 0.819)
Ag (0.113, 0.250, 0.480)
Ag (0.387, 0.750, 0.980)
Ag (0.613, 0.250, 0.020)
Ag (0.887, 0.750, 0.520)
Pt (0.034, 0.250, 0.853)
Pt (0.466, 0.750, 0.353)
Pt (0.534, 0.250, 0.647)
Pt (0.966, 0.750, 0.147)
O (0.055, 0.250, 0.249)
O (0.110, 0.750, 0.977)
O (0.178, 0.250, 0.706)
O (0.322, 0.750, 0.206)
O (0.390, 0.250, 0.477)
O (0.445, 0.750, 0.749)
O (0.555, 0.250, 0.251)
O (0.610, 0.750, 0.523)
O (0.678, 0.250, 0.794)
O (0.822, 0.750, 0.294)
O (0.890, 0.250, 0.023)
O (0.945, 0.750, 0.751)


A plane-wave DFT calculation with PBE was carried out for a relaxed structure of Pm3Fe.

Excess energy over the best structure of this formula in the dataset = 190 meV per atom
Crystal system = cubic
V = 24.776 Å³/atom
Total DFT energy (no corrections) = -5.129 eV per atom
ρ = 8.22 g cm⁻³

a b c (Å): 5.194 5.194 5.194
angles (deg): 60.00 60.00 60.00
Sites, in units of the cell vectors:
Pm (0.000, 0.000, 0.000)
Pm (0.250, 0.250, 0.250)
Pm (0.750, 0.750, 0.750)
Fe (0.500, 0.500, 0.500)


A plane-wave DFT calculation with PBE was carried out for a relaxed structure of Y4TlNiN2.

Crystal system = hexagonal
V = 19.703 Å³/atom
Total DFT energy (no corrections) = -7.215 eV per atom
ρ = 6.81 g cm⁻³

a b c (Å): 3.525 3.525 14.650
angles (deg): 90.00 90.00 120.00
Sites, in units of the cell vectors:
Y (0.000, 0.000, 0.133)
Y (0.000, 0.000, 0.867)
Y (0.333, 0.667, 0.320)
Y (0.333, 0.667, 0.680)
Tl (0.000, 0.000, 0.500)
Ni (0.333, 0.667, 0.000)
N (0.667, 0.333, 0.237)
N (0.667, 0.333, 0.763)